{
  "formula": "SmTm3Tl2",
  "functional": "PBE",
  "state": "optimized geometry",
  "lattice": [[5.0713, 0.0000, 0.0000], [0.0000, 6.8072, 0.0000], [0.0000, 0.0000, 9.9052]],
  "species": ["Tm", "Tl", "Tl", "Sm", "Tm", "Tm", "Tm", "Tl", "Sm", "Tm", "Tl", "Tm"],
  "frac_coords": [[0.0000, 0.4551, 0.9555], [0.0000, 0.2880, 0.6362], [0.5000, 0.2095, 0.1320], [0.5000, 0.5489, 0.5431], [0.0000, 0.8311, 0.6931], [0.0000, 0.9551, 0.0445], [0.5000, 0.1674, 0.8167], [0.5000, 0.7095, 0.8680], [0.5000, 0.0489, 0.4569], [0.5000, 0.6674, 0.1833], [0.0000, 0.7880, 0.3638], [0.0000, 0.3311, 0.3069]],
  "m_tot_mub_per_fu": 0.00,
  "spacegroup": "Pmc2_1",
  "e_above_lowest_polymorph_mev_per_atom": 0.0,
  "crystal_system": "orthorhombic",
  "ef_mev_per_atom": -258.0,
  "dos_at_fermi_per_ev_cell": 11.46
}